# PBE Ho2MgSc5, relaxed
# mass density	4.6	g/cm³
# energy of formation from the pure elements	0.0507	eV/atom
data_Ho2MgSc5
_cell_length_a 6.590
_cell_length_b 6.590
_cell_length_c 9.540
_cell_angle_alpha 90.00
_cell_angle_beta 90.00
_cell_angle_gamma 90.00
_symmetry_space_group_name_H-M 'I 4/m m m'
_symmetry_Int_Tables_number 139
_symmetry_space_group_name_Hall '-I 4 2'
loop_
_atom_site_label
_atom_site_fract_x
_atom_site_fract_y
_atom_site_fract_z
_atom_site_occupancy
Ho1 0.000 0.500 0.000 1
Mg1 0.000 0.000 0.000 1
Sc1 0.000 0.000 0.500 1
Sc2 0.250 0.250 0.250 1